# GGA-PBE In2Pb, optimized geometry
data_In2Pb
_chemical_formula_sum 'In4 Pb2'
_symmetry_space_group_name_H-M 'P 1'
_symmetry_Int_Tables_number 1
_symmetry_space_group_name_Hall 'P 1'
_cell_length_a 7.663
_cell_length_b 7.663
_cell_length_c 5.289
_cell_angle_alpha 90.00
_cell_angle_beta 90.00
_cell_angle_gamma 146.35
loop_
_atom_site_label
_atom_site_type_symbol
_atom_site_fract_x
_atom_site_fract_y
_atom_site_fract_z
_atom_site_occupancy
In1 In 0.088 0.912 0.750 1
In2 In 0.253 0.747 0.250 1
In3 In 0.747 0.253 0.750 1
In4 In 0.912 0.088 0.250 1
Pb1 Pb 0.417 0.583 0.750 1
Pb2 Pb 0.583 0.417 0.250 1
# Energy of formation from the pure elements = 0.0182 eV per atom
# Crystal system = orthorhombic
# SG = Cmcm
# Excess energy over the best structure of this formula in the dataset = 0.01 eV/f.u.

=====

# GGA-PBE InPb, optimized geometry
data_InPb
_chemical_formula_sum 'In2 Pb2'
_symmetry_space_group_name_H-M 'P 1'
_symmetry_Int_Tables_number 1
_symmetry_space_group_name_Hall 'P 1'
_cell_length_a 6.010
_cell_length_b 6.010
_cell_length_c 6.010
_cell_angle_alpha 133.55
_cell_angle_beta 129.95
_cell_angle_gamma 70.67
loop_
_atom_site_label
_atom_site_type_symbol
_atom_site_fract_x
_atom_site_fract_y
_atom_site_fract_z
_atom_site_occupancy
In1 In 0.379 0.129 0.250 1
In2 In 0.621 0.871 0.750 1
Pb1 Pb 0.128 0.378 0.750 1
Pb2 Pb 0.872 0.622 0.250 1
# Energy of formation from the pure elements = 0.0156 eV per atom
# Crystal system = orthorhombic
# SG = Imma

=====

# GGA-PBE InPb3, optimized geometry
data_InPb3
_chemical_formula_sum 'In1 Pb3'
_symmetry_space_group_name_H-M 'P 1'
_symmetry_Int_Tables_number 1
_symmetry_space_group_name_Hall 'P 1'
_cell_length_a 6.122
_cell_length_b 6.122
_cell_length_c 6.122
_cell_angle_alpha 132.39
_cell_angle_beta 132.39
_cell_angle_gamma 69.62
loop_
_atom_site_label
_atom_site_type_symbol
_atom_site_fract_x
_atom_site_fract_y
_atom_site_fract_z
_atom_site_occupancy
In1 In 0.000 0.000 0.000 1
Pb1 Pb 0.250 0.750 0.500 1
Pb2 Pb 0.500 0.500 0.000 1
Pb3 Pb 0.750 0.250 0.500 1
# Energy of formation from the pure elements = 0.0152 eV per atom
# Crystal system = tetragonal
# SG = I4/mmm

=====

# GGA-PBE InPb, optimized geometry
data_InPb
_chemical_formula_sum 'In4 Pb4'
_symmetry_space_group_name_H-M 'P 1'
_symmetry_Int_Tables_number 1
_symmetry_space_group_name_Hall 'P 1'
_cell_length_a 7.600
_cell_length_b 7.600
_cell_length_c 5.441
_cell_angle_alpha 90.00
_cell_angle_beta 90.00
_cell_angle_gamma 90.00
loop_
_atom_site_label
_atom_site_type_symbol
_atom_site_fract_x
_atom_site_fract_y
_atom_site_fract_z
_atom_site_occupancy
In1 In 0.236 0.236 0.000 1
In2 In 0.264 0.736 0.500 1
In3 In 0.736 0.264 0.500 1
In4 In 0.764 0.764 0.000 1
Pb1 Pb 0.156 0.844 0.000 1
Pb2 Pb 0.344 0.344 0.500 1
Pb3 Pb 0.656 0.656 0.500 1
Pb4 Pb 0.844 0.156 0.000 1
# Energy of formation from the pure elements = 0.2884 eV per atom
# Crystal system = tetragonal
# SG = P4_2/mnm

=====

# GGA-PBE InPb3, optimized geometry
data_InPb3
_chemical_formula_sum 'In1 Pb3'
_symmetry_space_group_name_H-M 'P 1'
_symmetry_Int_Tables_number 1
_symmetry_space_group_name_Hall 'P 1'
_cell_length_a 6.570
_cell_length_b 6.570
_cell_length_c 6.570
_cell_angle_alpha 117.13
_cell_angle_beta 117.13
_cell_angle_gamma 117.13
loop_
_atom_site_label
_atom_site_type_symbol
_atom_site_fract_x
_atom_site_fract_y
_atom_site_fract_z
_atom_site_occupancy
In1 In 0.000 0.000 0.000 1
Pb1 Pb 0.000 0.500 0.500 1
Pb2 Pb 0.500 0.000 0.500 1
Pb3 Pb 0.500 0.500 0.000 1
# Energy of formation from the pure elements = 0.0322 eV per atom
# Crystal system = trigonal
# SG = R-3m

=====

# GGA-PBE InPb, optimized geometry
data_InPb
_chemical_formula_sum 'In4 Pb4'
_symmetry_space_group_name_H-M 'P 1'
_symmetry_Int_Tables_number 1
_symmetry_space_group_name_Hall 'P 1'
_cell_length_a 8.795
_cell_length_b 8.795
_cell_length_c 8.795
_cell_angle_alpha 91.97
_cell_angle_beta 91.97
_cell_angle_gamma 158.61
loop_
_atom_site_label
_atom_site_type_symbol
_atom_site_fract_x
_atom_site_fract_y
_atom_site_fract_z
_atom_site_occupancy
In1 In 0.094 0.363 0.457 1
In2 In 0.363 0.906 0.269 1
In3 In 0.637 0.094 0.731 1
In4 In 0.906 0.637 0.543 1
Pb1 Pb 0.106 0.837 0.943 1
Pb2 Pb 0.163 0.106 0.268 1
Pb3 Pb 0.837 0.894 0.732 1
Pb4 Pb 0.894 0.163 0.057 1
# Energy of formation from the pure elements = 0.0865 eV per atom
# Crystal system = tetragonal
# SG = I4/m